Entry 1:
# Pd3WBr | the Alexandria database | PBE | relaxed
data_Pd3WBr
_symmetry_space_group_name_H-M 'P 1'
_symmetry_Int_Tables_number 1
_cell_length_a 4.702
_cell_length_b 4.702
_cell_length_c 4.702
_cell_angle_alpha 90.00
_cell_angle_beta 90.00
_cell_angle_gamma 90.00
loop_
_symmetry_equiv_pos_as_xyz
'x,y,z'
loop_
_atom_site_label
_atom_site_type_symbol
_atom_site_fract_x
_atom_site_fract_y
_atom_site_fract_z
Pd1 Pd 0.000 0.000 0.500
Pd2 Pd 0.000 0.500 0.000
Pd3 Pd 0.500 0.000 0.000
W1 W 0.500 0.500 0.500
Br1 Br 0.000 0.000 0.000
# space-group type	Pm-3m (221)
# relative energy among the computed polymorphs	302	meV per atom

---

Entry 2:
# Pr2DyPb2 | the Alexandria database | PBE | relaxed
data_Pr2DyPb2
_symmetry_space_group_name_H-M 'P 1'
_symmetry_Int_Tables_number 1
_cell_length_a 8.328
_cell_length_b 8.328
_cell_length_c 4.622
_cell_angle_alpha 90.00
_cell_angle_beta 90.00
_cell_angle_gamma 90.00
loop_
_symmetry_equiv_pos_as_xyz
'x,y,z'
loop_
_atom_site_label
_atom_site_type_symbol
_atom_site_fract_x
_atom_site_fract_y
_atom_site_fract_z
Pr1 Pr 0.169 0.331 0.000
Pr2 Pr 0.331 0.831 0.000
Pr3 Pr 0.669 0.169 0.000
Pr4 Pr 0.831 0.669 0.000
Dy1 Dy 0.000 0.000 0.500
Dy2 Dy 0.500 0.500 0.500
Pb1 Pb 0.136 0.636 0.500
Pb2 Pb 0.364 0.136 0.500
Pb3 Pb 0.636 0.864 0.500
Pb4 Pb 0.864 0.364 0.500
# E_form	-0.5269	eV/atom
# space-group type	P4/mbm (127)
# relative energy among the computed polymorphs	0	meV per atom

---

Entry 3:
# CuH2N2Cl4 | the Alexandria database | PBE | relaxed
data_CuH2N2Cl4
_symmetry_space_group_name_H-M 'P 1'
_symmetry_Int_Tables_number 1
_cell_length_a 7.805
_cell_length_b 7.805
_cell_length_c 8.077
_cell_angle_alpha 90.00
_cell_angle_beta 90.00
_cell_angle_gamma 90.00
loop_
_symmetry_equiv_pos_as_xyz
'x,y,z'
loop_
_atom_site_label
_atom_site_type_symbol
_atom_site_fract_x
_atom_site_fract_y
_atom_site_fract_z
Cu1 Cu 0.000 0.000 0.000
Cu2 Cu 0.500 0.500 0.500
H1 H 0.000 0.000 0.412
H2 H 0.000 0.000 0.588
H3 H 0.500 0.500 0.088
H4 H 0.500 0.500 0.912
N1 N 0.000 0.500 0.250
N2 N 0.000 0.500 0.750
N3 N 0.500 0.000 0.250
N4 N 0.500 0.000 0.750
Cl1 Cl 0.130 0.130 0.500
Cl2 Cl 0.186 0.186 0.000
Cl3 Cl 0.314 0.686 0.500
Cl4 Cl 0.370 0.630 0.000
Cl5 Cl 0.630 0.370 0.000
Cl6 Cl 0.686 0.314 0.500
Cl7 Cl 0.814 0.814 0.000
Cl8 Cl 0.870 0.870 0.500
# electronic total energy	-2.845	eV/atom
# space-group type	P4_2/mnm (136)

---

Entry 4:
# Cs3Ho2ThSe6 | the Alexandria database | PBE | relaxed
data_Cs3Ho2ThSe6
_symmetry_space_group_name_H-M 'P 1'
_symmetry_Int_Tables_number 1
_cell_length_a 7.389
_cell_length_b 7.389
_cell_length_c 8.775
_cell_angle_alpha 98.07
_cell_angle_beta 98.07
_cell_angle_gamma 120.01
loop_
_symmetry_equiv_pos_as_xyz
'x,y,z'
loop_
_atom_site_label
_atom_site_type_symbol
_atom_site_fract_x
_atom_site_fract_y
_atom_site_fract_z
Cs1 Cs 0.000 0.000 0.000
Cs2 Cs 0.334 0.666 0.000
Cs3 Cs 0.666 0.334 0.000
Ho1 Ho 0.167 0.833 0.500
Ho2 Ho 0.833 0.167 0.500
Th1 Th 0.500 0.500 0.500
Se1 Se 0.100 0.437 0.312
Se2 Se 0.225 0.225 0.688
Se3 Se 0.437 0.100 0.312
Se4 Se 0.563 0.900 0.688
Se5 Se 0.775 0.775 0.312
Se6 Se 0.900 0.563 0.688
# electronic total energy	-4.990	eV/atom
# space-group type	C2/m (12)

---

Entry 5:
# RbTb2Te6Pb3 | the Alexandria database | PBE | relaxed
data_RbTb2Te6Pb3
_symmetry_space_group_name_H-M 'P 1'
_symmetry_Int_Tables_number 1
_cell_length_a 10.209
_cell_length_b 10.209
_cell_length_c 9.876
_cell_angle_alpha 100.41
_cell_angle_beta 100.41
_cell_angle_gamma 25.27
loop_
_symmetry_equiv_pos_as_xyz
'x,y,z'
loop_
_atom_site_label
_atom_site_type_symbol
_atom_site_fract_x
_atom_site_fract_y
_atom_site_fract_z
Rb1 Rb 0.000 0.000 0.000
Tb1 Tb 0.330 0.330 0.665
Tb2 Tb 0.670 0.670 0.335
Te1 Te 0.169 0.169 0.563
Te2 Te 0.182 0.182 0.117
Te3 Te 0.484 0.484 0.723
Te4 Te 0.516 0.516 0.277
Te5 Te 0.818 0.818 0.883
Te6 Te 0.831 0.831 0.437
Pb1 Pb 0.000 0.000 0.500
Pb2 Pb 0.341 0.341 0.170
Pb3 Pb 0.659 0.659 0.830
# electronic total energy	-4.151	eV/atom
# space-group type	C2/m (12)

---

Entry 6:
# ThZrSc3 | the Alexandria database | PBE | relaxed
data_ThZrSc3
_symmetry_space_group_name_H-M 'P 1'
_symmetry_Int_Tables_number 1
_cell_length_a 8.480
_cell_length_b 8.480
_cell_length_c 10.385
_cell_angle_alpha 106.35
_cell_angle_beta 106.35
_cell_angle_gamma 21.65
loop_
_symmetry_equiv_pos_as_xyz
'x,y,z'
loop_
_atom_site_label
_atom_site_type_symbol
_atom_site_fract_x
_atom_site_fract_y
_atom_site_fract_z
Th1 Th 0.103 0.103 0.051
Th2 Th 0.897 0.897 0.949
Zr1 Zr 0.406 0.406 0.468
Zr2 Zr 0.594 0.594 0.532
Sc1 Sc 0.007 0.007 0.727
Sc2 Sc 0.200 0.200 0.370
Sc3 Sc 0.305 0.305 0.151
Sc4 Sc 0.695 0.695 0.849
Sc5 Sc 0.800 0.800 0.630
Sc6 Sc 0.993 0.993 0.273
# E_form	0.2059	eV/atom
# space-group type	C2/m (12)
# relative energy among the computed polymorphs	34	meV per atom

---

Number 1: total magnetization 0.899 μB/atom. Number 2: total magnetization 0.000 μB/atom. Number 3: total magnetization 0.555 μB/atom. Number 4: total magnetization 0.000 μB/atom. Number 5: total magnetization 0.000 μB/atom. Number 6: total magnetization 0.000 μB/atom.